Entry 1:
VASP calculation (GGA-PBE) on a geometry-optimized PmNdIn2 structure.

Computed properties:
Total magnetic moment (μB per atom): 0.00
E_tot (eV for the cell shown): -16.98

Lattice parameters (Å, degrees): 3.864 3.864 7.722 90.00 90.00 90.00
Element x y z (fractional)
1 Nd 0.500 0.500 0.500
2 In 0.000 0.000 0.247
3 In 0.000 0.000 0.753
4 Pm 0.500 0.500 0.000

---

Entry 2:
VASP calculation (GGA-PBE) on a geometry-optimized Pm3Nd3In2 structure.

Computed properties:
Total magnetic moment (μB per atom): 0.02
Offset from the most stable computed form (meV per atom): 0
E_tot (eV for the cell shown): -36.22

Lattice parameters (Å, degrees): 4.962 4.973 9.965 90.00 90.00 90.00
Element x y z (fractional)
1 In 0.000 0.000 0.751
2 In 0.000 0.000 0.249
3 Pm 0.500 0.000 0.000
4 Pm 0.500 0.500 0.750
5 Pm 0.500 0.500 0.250
6 Nd 0.000 0.500 0.500
7 Nd 0.500 0.000 0.500
8 Nd 0.000 0.500 0.000

---

Entry 3:
VASP calculation (GGA-PBE) on a geometry-optimized PmNdIn structure.

Computed properties:
Total magnetic moment (μB per atom): 0.00
Offset from the most stable computed form (meV per atom): 71
E_tot (eV for the cell shown): -25.82

Lattice parameters (Å, degrees): 3.554 3.554 15.426 96.62 96.62 90.00
Element x y z (fractional)
1 In 0.130 0.130 0.259
2 In 0.870 0.870 0.741
3 Nd 0.560 0.560 0.119
4 Nd 0.440 0.440 0.881
5 Pm 0.296 0.296 0.593
6 Pm 0.704 0.704 0.407

---

Entry 4:
VASP calculation (GGA-PBE) on a geometry-optimized Pm8Nd6In structure.

Computed properties:
Total magnetic moment (μB per atom): 0.00
E_tot (eV for the cell shown): -68.51

Lattice parameters (Å, degrees): 6.650 9.477 9.477 120.00 90.00 90.00
Element x y z (fractional)
1 Pm 0.181 0.960 0.733
2 Pm 0.864 0.333 0.667
3 Pm 0.819 0.040 0.267
4 Pm 0.181 0.773 0.040
5 Pm 0.819 0.733 0.773
6 Pm 0.819 0.227 0.960
7 Pm 0.136 0.667 0.333
8 Pm 0.181 0.267 0.227
9 In 0.500 0.000 0.000
10 Nd 0.330 0.091 0.444
11 Nd 0.670 0.444 0.353
12 Nd 0.670 0.909 0.556
13 Nd 0.330 0.353 0.909
14 Nd 0.330 0.556 0.647
15 Nd 0.670 0.647 0.091

---

Entry 5:
VASP calculation (GGA-PBE) on a geometry-optimized Pm15Nd4In structure.

Computed properties:
Total magnetic moment (μB per atom): 0.00
E_tot (eV for the cell shown): -93.78

Lattice parameters (Å, degrees): 5.109 5.109 25.897 90.00 90.00 90.00
Element x y z (fractional)
1 Pm 0.000 0.500 0.297
2 Pm 0.500 0.500 0.602
3 Pm 0.500 0.500 0.398
4 Pm 0.500 0.000 0.095
5 Pm 0.000 0.500 0.095
6 Pm 0.500 0.000 0.703
7 Pm 0.500 0.500 0.195
8 Pm 0.500 0.500 0.000
9 Pm 0.500 0.000 0.297
10 Pm 0.500 0.000 0.905
11 Pm 0.000 0.500 0.500
12 Pm 0.500 0.000 0.500
13 Pm 0.000 0.500 0.905
14 Pm 0.000 0.500 0.703
15 Pm 0.500 0.500 0.805
16 Nd 0.000 0.000 0.601
17 Nd 0.000 0.000 0.197
18 Nd 0.000 0.000 0.803
19 Nd 0.000 0.000 0.399
20 In 0.000 0.000 0.000

---

Entry 6:
VASP calculation (GGA-PBE) on a geometry-optimized Pm4Nd3In2 structure.

Computed properties:
Total magnetic moment (μB per atom): 0.00
Offset from the most stable computed form (meV per atom): 26
E_tot (eV for the cell shown): -40.48

Lattice parameters (Å, degrees): 5.451 6.964 9.754 59.76 73.81 66.96
Element x y z (fractional)
1 Nd 0.424 0.803 0.348
2 Nd 0.000 0.000 0.000
3 Nd 0.576 0.197 0.652
4 In 0.789 0.104 0.319
5 In 0.211 0.896 0.681
6 Pm 0.877 0.589 0.656
7 Pm 0.670 0.623 0.037
8 Pm 0.330 0.377 0.963
9 Pm 0.123 0.411 0.344

---

no.,formation enthalpy at 0 K (meV/atom)
1,-497
2,-273
3,-218
4,56
5,-36
6,-189